(1)
## CaGa4Pt2Au (PBE-GGA)

Data for a geometry-optimized CaGa4Pt2Au structure.

- Energy of formation from the pure elements: -528.2 meV/atom

The structure in POSCAR format:
```
CaGa4Pt2Au
1.0
4.3138 0.0000 0.0000
2.1569 3.7358 0.0000
2.1569 1.2453 9.2827
Ca Ga Pt Au
1 4 2 1
Direct
0.0000 0.0000 0.0000
0.3997 0.3997 0.8008
0.8766 0.8766 0.3702
0.1234 0.1234 0.6298
0.6003 0.6003 0.1992
0.7470 0.7470 0.7589
0.2530 0.2530 0.2411
0.5000 0.5000 0.5000
```

(2)
## Ca2Ga3PtAu12 (PBE-GGA)

Data for a geometry-optimized Ca2Ga3PtAu12 structure.

- Energy of formation from the pure elements: -55.8 meV/atom

The structure in POSCAR format:
```
Ca2Ga3PtAu12
1.0
-5.4995 -5.6836 -2.5849
2.8513 -6.7580 -3.9280
-0.3002 -7.3031 3.9755
Ca Ga Pt Au
2 3 1 12
Direct
0.6198 0.6198 0.6198
0.3802 0.3802 0.3802
0.5000 0.0000 0.0000
0.0000 0.5000 0.0000
0.0000 0.0000 0.5000
0.0000 0.0000 0.0000
0.3681 0.3681 0.8830
0.8693 0.8693 0.3817
0.3817 0.8693 0.8693
0.8830 0.3681 0.3681
0.8693 0.3817 0.8693
0.3681 0.8830 0.3681
0.6319 0.6319 0.1170
0.1307 0.1307 0.6183
0.6183 0.1307 0.1307
0.1170 0.6319 0.6319
0.1307 0.6183 0.1307
0.6319 0.1170 0.6319
```

(3)
## CaGa4PtAu2 (PBE-GGA)

Data for a geometry-optimized CaGa4PtAu2 structure.

- Energy of formation from the pure elements: -484.4 meV/atom

The structure in POSCAR format:
```
CaGa4PtAu2
1.0
4.3958 0.0000 0.0000
2.1979 3.8069 0.0000
2.1979 1.2690 9.5867
Ca Ga Pt Au
1 4 1 2
Direct
0.0000 0.0000 0.0000
0.4100 0.4100 0.7699
0.8629 0.8629 0.4112
0.1371 0.1371 0.5888
0.5900 0.5900 0.2301
0.5000 0.5000 0.5000
0.7322 0.7322 0.8035
0.2678 0.2678 0.1965
```

(4)
## CaPuGaAu (PBE-GGA)

Data for a geometry-optimized CaPuGaAu structure.

- Energy of formation from the pure elements: -412.2 meV/atom

The structure in POSCAR format:
```
CaPuGaAu
1.0
-3.2175 0.4234 -4.0000
-0.8816 -4.0653 -3.0376
-4.5782 -2.3575 0.1166
Ca Au Ga Pu
1 1 1 1
Direct
0.0000 0.0000 0.0000
0.7500 0.7500 0.7500
0.2500 0.2500 0.2500
0.5000 0.5000 0.5000
```